# 1
Below is Y3MoS after structural relaxation, with properties calculated at the PBE level.

CIF file:
```
data_Y3MoS
_cell_length_a 5.1106
_cell_length_b 5.1106
_cell_length_c 5.1106
_cell_angle_alpha 90.00
_cell_angle_beta 90.00
_cell_angle_gamma 90.00
_space_group_name_H-M_alt 'P 1'
_space_group_IT_number 1
loop_
_space_group_symop_operation_xyz
'x,y,z'
loop_
_atom_site_label
_atom_site_type_symbol
_atom_site_fract_x
_atom_site_fract_y
_atom_site_fract_z
Y1 Y 0.0000 0.5000 0.0000
Mo1 Mo 0.5000 0.5000 0.5000
Y2 Y 0.5000 0.0000 0.0000
Y3 Y 0.0000 0.0000 0.5000
S1 S 0.0000 0.0000 0.0000
```

Values from the calculation:
- Energy relative to the elements, uncorrected: -0.1138 eV/atom
- V: 26.70 Å³ per atom
- Offset from the most stable computed form: 0 meV per atom


# 2
Below is LaZr2Au after structural relaxation, with properties calculated at the PBE level.

CIF file:
```
data_LaZr2Au
_cell_length_a 5.1331
_cell_length_b 5.1331
_cell_length_c 5.1331
_cell_angle_alpha 60.00
_cell_angle_beta 60.00
_cell_angle_gamma 60.00
_space_group_name_H-M_alt 'P 1'
_space_group_IT_number 1
loop_
_space_group_symop_operation_xyz
'x,y,z'
loop_
_atom_site_label
_atom_site_type_symbol
_atom_site_fract_x
_atom_site_fract_y
_atom_site_fract_z
Zr1 Zr 0.2500 0.2500 0.2500
Au1 Au 0.5000 0.5000 0.5000
Zr2 Zr 0.0000 0.0000 0.0000
La1 La 0.7500 0.7500 0.7500
```

Values from the calculation:
- V: 23.91 Å³ per atom
- ΔH_f (0 K): -41 meV per atom
- Offset from the most stable computed form: 244 meV per atom


# 3
Below is KYO2 after structural relaxation, with properties calculated at the PBE level.

CIF file:
```
data_KYO2
_cell_length_a 6.0243
_cell_length_b 6.0243
_cell_length_c 6.3495
_cell_angle_alpha 61.68
_cell_angle_beta 61.68
_cell_angle_gamma 90.00
_space_group_name_H-M_alt 'P 1'
_space_group_IT_number 1
loop_
_space_group_symop_operation_xyz
'x,y,z'
loop_
_atom_site_label
_atom_site_type_symbol
_atom_site_fract_x
_atom_site_fract_y
_atom_site_fract_z
K1 K 0.2500 0.7500 0.5000
K2 K 0.5000 0.5000 0.0000
Y1 Y 0.7500 0.2500 0.5000
O1 O 0.8750 0.9577 0.7500
O2 O 0.3750 0.2923 0.7500
O3 O 0.0423 0.6250 0.2500
O4 O 0.7077 0.1250 0.2500
Y2 Y 0.0000 0.0000 0.0000
```

Values from the calculation:
- Energy relative to the elements, uncorrected: -2.6143 eV/atom
- V: 21.36 Å³ per atom


# 4
Below is ZrPaCd after structural relaxation, with properties calculated at the PBE level.

CIF file:
```
data_ZrPaCd
_cell_length_a 5.0017
_cell_length_b 5.0017
_cell_length_c 6.6064
_cell_angle_alpha 90.00
_cell_angle_beta 90.00
_cell_angle_gamma 120.00
_space_group_name_H-M_alt 'P 1'
_space_group_IT_number 1
loop_
_space_group_symop_operation_xyz
'x,y,z'
loop_
_atom_site_label
_atom_site_type_symbol
_atom_site_fract_x
_atom_site_fract_y
_atom_site_fract_z
Cd1 Cd 0.6667 0.3333 0.0584
Pa1 Pa 0.3333 0.6667 0.4582
Cd2 Cd 0.3333 0.6667 0.9416
Zr1 Zr 0.0000 0.0000 0.7328
Zr2 Zr 0.0000 0.0000 0.2672
Pa2 Pa 0.6667 0.3333 0.5418
```

Values from the calculation:
- V: 23.85 Å³ per atom
- ΔH_f (0 K): 156 meV per atom
- Offset from the most stable computed form: 171 meV per atom